[1]
# Y6Tl5Pb PBE optimized geometry
data_Y6Tl5Pb
_space_group_name_H-M_alt 'C 1 2/m 1'
_space_group_IT_number 12
_space_group_name_Hall '-C 2y'
_cell_length_a 6.5671
_cell_length_b 11.2046
_cell_length_c 9.8542
_cell_angle_alpha 90.00
_cell_angle_beta 102.06
_cell_angle_gamma 90.00
loop_
_atom_site_label
_atom_site_type_symbol
_atom_site_fract_x
_atom_site_fract_y
_atom_site_fract_z
_atom_site_occupancy
Y1 Y 0.2477 0.1673 0.2477 1
Y2 Y 0.2495 0.0000 0.7500 1
Tl1 Tl 0.0000 0.0000 0.0000 1
Tl2 Tl 0.0000 0.1682 0.5000 1
Tl3 Tl 0.0000 0.3346 0.0000 1
Pb1 Pb 0.0000 0.5000 0.5000 1
# - D(E_F): 0.695 states/eV/atom
# - V: 29.55 A^3/atom
# - ΔE to the lowest computed polymorph: 7.2 kJ/mol of atoms


[2]
# Y4Tl3Pb PBE optimized geometry
data_Y4Tl3Pb
_space_group_name_H-M_alt 'P 4/m m m'
_space_group_IT_number 123
_space_group_name_Hall '-P 4 2'
_cell_length_a 5.0834
_cell_length_b 5.0834
_cell_length_c 8.5639
_cell_angle_alpha 90.00
_cell_angle_beta 90.00
_cell_angle_gamma 90.00
loop_
_atom_site_label
_atom_site_type_symbol
_atom_site_fract_x
_atom_site_fract_y
_atom_site_fract_z
_atom_site_occupancy
Y1 Y 0.0000 0.5000 0.2472 1
Tl1 Tl 0.0000 0.0000 0.0000 1
Tl2 Tl 0.0000 0.0000 0.5000 1
Tl3 Tl 0.5000 0.5000 0.0000 1
Pb1 Pb 0.5000 0.5000 0.5000 1
# - D(E_F): 0.814 states/eV/atom
# - V: 27.66 A^3/atom


[3]
# YTlPb2 PBE optimized geometry
data_YTlPb2
_space_group_name_H-M_alt 'R 3 m'
_space_group_IT_number 160
_space_group_name_Hall 'R 3 -2"'
_cell_length_a 5.0008
_cell_length_b 5.0008
_cell_length_c 18.2986
_cell_angle_alpha 90.00
_cell_angle_beta 90.00
_cell_angle_gamma 120.00
loop_
_atom_site_label
_atom_site_type_symbol
_atom_site_fract_x
_atom_site_fract_y
_atom_site_fract_z
_atom_site_occupancy
Y1 Y 0.0000 0.0000 0.0000 1
Tl1 Tl 0.0000 0.0000 0.8210 1
Pb1 Pb 0.0000 0.0000 0.3993 1
Pb2 Pb 0.0000 0.0000 0.5866 1
# - D(E_F): 0.690 states/eV/atom
# - V: 33.03 A^3/atom


[4]
# Y2Tl3Pb3 PBE optimized geometry
data_Y2Tl3Pb3
_space_group_name_H-M_alt 'P m m m'
_space_group_IT_number 47
_space_group_name_Hall '-P 2 2'
_cell_length_a 4.7276
_cell_length_b 4.9700
_cell_length_c 9.6144
_cell_angle_alpha 90.00
_cell_angle_beta 90.00
_cell_angle_gamma 90.00
loop_
_atom_site_label
_atom_site_type_symbol
_atom_site_fract_x
_atom_site_fract_y
_atom_site_fract_z
_atom_site_occupancy
Y1 Y 0.0000 0.0000 0.2484 1
Tl1 Tl 0.0000 0.5000 0.0000 1
Tl2 Tl 0.5000 0.5000 0.2464 1
Pb1 Pb 0.0000 0.5000 0.5000 1
Pb2 Pb 0.5000 0.0000 0.0000 1
Pb3 Pb 0.5000 0.0000 0.5000 1
# - D(E_F): 0.543 states/eV/atom
# - V: 28.24 A^3/atom


[5]
# Y6Tl2Pb PBE optimized geometry
data_Y6Tl2Pb
_space_group_name_H-M_alt 'P 1 21/c 1'
_space_group_IT_number 14
_space_group_name_Hall '-P 2ybc'
_cell_length_a 6.2382
_cell_length_b 9.0533
_cell_length_c 11.0868
_cell_angle_alpha 90.00
_cell_angle_beta 118.69
_cell_angle_gamma 90.00
loop_
_atom_site_label
_atom_site_type_symbol
_atom_site_fract_x
_atom_site_fract_y
_atom_site_fract_z
_atom_site_occupancy
Y1 Y 0.0471 0.1642 0.4398 1
Y2 Y 0.3600 0.6841 0.4385 1
Y3 Y 0.4146 0.0324 0.3028 1
Tl1 Tl 0.1789 0.1256 0.7556 1
Pb1 Pb 0.0000 0.0000 0.0000 1
# - D(E_F): 0.920 states/eV/atom
# - V: 30.51 A^3/atom


[6]
# YTl3Pb PBE optimized geometry
data_YTl3Pb
_space_group_name_H-M_alt 'P m -3 m'
_space_group_IT_number 221
_space_group_name_Hall '-P 4 2 3'
_cell_length_a 5.8456
_cell_length_b 5.8456
_cell_length_c 5.8456
_cell_angle_alpha 90.00
_cell_angle_beta 90.00
_cell_angle_gamma 90.00
loop_
_atom_site_label
_atom_site_type_symbol
_atom_site_fract_x
_atom_site_fract_y
_atom_site_fract_z
_atom_site_occupancy
Y1 Y 0.0000 0.0000 0.0000 1
Tl1 Tl 0.0000 0.0000 0.5000 1
Pb1 Pb 0.5000 0.5000 0.5000 1
# - D(E_F): 0.802 states/eV/atom
# - V: 39.95 A^3/atom
# - ΔE to the lowest computed polymorph: 0.0 kJ/mol of atoms


[7]
# Y2Tl2Pb PBE optimized geometry
data_Y2Tl2Pb
_space_group_name_H-M_alt 'C m m m'
_space_group_IT_number 65
_space_group_name_Hall '-C 2 2'
_cell_length_a 5.4260
_cell_length_b 7.8625
_cell_length_c 7.3158
_cell_angle_alpha 90.00
_cell_angle_beta 90.00
_cell_angle_gamma 90.00
loop_
_atom_site_label
_atom_site_type_symbol
_atom_site_fract_x
_atom_site_fract_y
_atom_site_fract_z
_atom_site_occupancy
Y1 Y 0.0000 0.0000 0.2393 1
Tl1 Tl 0.0000 0.3211 0.5000 1
Pb1 Pb 0.0000 0.5000 0.0000 1
# - D(E_F): 0.806 states/eV/atom
# - V: 31.21 A^3/atom
# - ΔE to the lowest computed polymorph: 20.1 kJ/mol of atoms


[8]
# Y5Tl4Pb PBE optimized geometry
data_Y5Tl4Pb
_space_group_name_H-M_alt 'P 4/m m m'
_space_group_IT_number 123
_space_group_name_Hall '-P 4 2'
_cell_length_a 3.6684
_cell_length_b 3.6684
_cell_length_c 20.4638
_cell_angle_alpha 90.00
_cell_angle_beta 90.00
_cell_angle_gamma 90.00
loop_
_atom_site_label
_atom_site_type_symbol
_atom_site_fract_x
_atom_site_fract_y
_atom_site_fract_z
_atom_site_occupancy
Y1 Y 0.0000 0.0000 0.0000 1
Y2 Y 0.0000 0.0000 0.1982 1
Y3 Y 0.0000 0.0000 0.3980 1
Tl1 Tl 0.5000 0.5000 0.0987 1
Tl2 Tl 0.5000 0.5000 0.2969 1
Pb1 Pb 0.5000 0.5000 0.5000 1
# - D(E_F): 0.766 states/eV/atom
# - V: 27.54 A^3/atom


no.,total energy (eV per atom),energy of formation (eV/atom)
1,-4.84,-0.3097
2,-4.98,-0.3931
3,-4.09,-0.0303
4,-4.16,-0.2657
5,-5.48,-0.2374
6,-3.01,0.4415
7,-4.35,-0.0790
8,-4.94,-0.3874